VASP calculation (PBE) on crystalline HoTm3Ir at its relaxed geometry.

Properties
SG: C2/m
formation energy from the elements: -0.4217 eV per atom
total moment: 1.25 μB/cell
uncorrected energy: -5.79 eV/atom
polymorph energy (0 for the lowest one): 0 meV/atom

a b c (Å): 7.213 7.213 7.190
angles (deg): 107.23 113.62 107.78
Last column: magnetic moment on the atom in μB.
Fractional positions:
Ho: 0.711 0.053 0.764  0.12
Ho: 0.289 0.947 0.236  0.12
Tm: 0.847 0.059 0.298  0.12
Tm: 0.239 0.450 0.298  0.12
Tm: 0.761 0.550 0.702  0.12
Tm: 0.706 0.444 0.150  0.12
Tm: 0.153 0.941 0.702  0.12
Tm: 0.294 0.556 0.850  0.12
Ir: 0.628 0.748 0.377  0.01
Ir: 0.372 0.252 0.623  0.01